Record 1
# ReHgW4

Crystalline ReHgW4 at its relaxed geometry (PBE, the Alexandria database).

Values from the calculation:
Symmetry: F-43m, No. 216
Fermi-level density of states: 5.96 states/eV/f.u.
E_form: 0.682 eV/atom

Cell: 5.273 5.273 5.273 Å, 60.00 60.00 60.00°
Fractional coordinates of all 6 atoms:
Re (0.000, 0.000, 0.000)
Hg (0.750, 0.750, 0.750)
W (0.873, 0.376, 0.376)
W (0.376, 0.376, 0.873)
W (0.376, 0.873, 0.376)
W (0.376, 0.376, 0.376)

Record 2
# ReHg3W

Crystalline ReHg3W at its relaxed geometry (PBE, the Alexandria database).

Values from the calculation:
Polymorph energy (0 for the lowest one): 0 meV per atom
Symmetry: Pm-3m, No. 221
Fermi-level density of states: 4.56 states/eV/f.u.
E_form: 2.193 eV/atom

Cell: 5.281 5.281 5.281 Å, 90.00 90.00 90.00°
Each line ends with the local moment (μB).
Fractional coordinates of all 5 atoms:
Re (0.500, 0.500, 0.500)  3.86
Hg (0.000, 0.500, 0.000)  -0.07
Hg (0.000, 0.000, 0.500)  -0.08
Hg (0.500, 0.000, 0.000)  -0.01
W (0.000, 0.000, 0.000)  -1.01

Record 3
# ReHgW3

Crystalline ReHgW3 at its relaxed geometry (PBE, the Alexandria database).

Values from the calculation:
Polymorph energy (0 for the lowest one): 0 meV per atom
Symmetry: Pm-3m, No. 221
Fermi-level density of states: 5.22 states/eV/f.u.
E_form: 1.987 eV/atom

Cell: 4.781 4.781 4.781 Å, 90.00 90.00 90.00°
Fractional coordinates of all 5 atoms:
Re (0.000, 0.000, 0.000)
Hg (0.500, 0.500, 0.500)
W (0.000, 0.500, 0.000)
W (0.000, 0.000, 0.500)
W (0.500, 0.000, 0.000)

Record 4
# ReHg4W

Crystalline ReHg4W at its relaxed geometry (PBE, the Alexandria database).

Values from the calculation:
Symmetry: F-43m, No. 216
Fermi-level density of states: 3.71 states/eV/f.u.
E_form: 1.417 eV/atom

Cell: 5.499 5.499 5.499 Å, 60.00 60.00 60.00°
Each line ends with the local moment (μB).
Fractional coordinates of all 6 atoms:
Re (0.750, 0.750, 0.750)  0.41
Hg (0.875, 0.375, 0.375)  -0.01
Hg (0.375, 0.375, 0.875)  -0.01
Hg (0.375, 0.875, 0.375)  -0.01
Hg (0.375, 0.375, 0.375)  -0.01
W (0.000, 0.000, 0.000)  -0.34

Record 5
# ZnRe2HgW

Crystalline ZnRe2HgW at its relaxed geometry (PBE, the Alexandria database).

Values from the calculation:
Symmetry: P4/mmm, No. 123
Fermi-level density of states: 5.70 states/eV/f.u.
E_form: 1.899 eV/atom

Cell: 4.779 4.904 4.779 Å, 90.00 90.00 90.00°
Each line ends with the local moment (μB).
Fractional coordinates of all 5 atoms:
Re (0.000, 0.000, 0.500)  0.87
Re (0.500, 0.000, 0.000)  0.93
Zn (0.000, 0.500, 0.000)  0.01
Hg (0.500, 0.500, 0.500)  -0.02
W (0.000, 0.000, 0.000)  -0.15

Record 6
# YRe2Hg

Crystalline YRe2Hg at its relaxed geometry (PBE, the Alexandria database).

Values from the calculation:
Symmetry: R3m, No. 160
Fermi-level density of states: 3.41 states/eV/f.u.
E_form: 0.179 eV/atom

Cell: 4.355 4.355 5.825 Å, 68.04 68.04 60.00°
Fractional coordinates of all 4 atoms:
Hg (0.731, 0.731, 0.807)
Re (0.955, 0.955, 0.135)
Re (0.305, 0.305, 0.086)
Y (0.509, 0.509, 0.473)

Which of these has the highest Fermi-level density of states? ReHgW4

E_form of number 6 (YRe2Hg)? 0.179 eV/atom